This record from the Alexandria database describes a geometry-optimized U3NbTl2O12 structure. The functional is PBE-GGA.

Geometry as CIF:
```
data_U3NbTl2O12
_chemical_formula_sum 'U9 Nb3 Tl6 O36'
_cell_length_a 7.9375
_cell_length_b 7.9375
_cell_length_c 18.7242
_cell_angle_alpha 90.00
_cell_angle_beta 90.00
_cell_angle_gamma 120.00
_space_group_name_H-M_alt 'R -3 m'
_space_group_IT_number 166
_space_group_name_Hall '-R 3 2"'
loop_
_atom_site_label
_atom_site_fract_x
_atom_site_fract_y
_atom_site_fract_z
_atom_site_occupancy
U1 0.0000 0.5000 0.0000 1
Nb1 0.0000 0.0000 0.5000 1
Tl1 0.0000 0.0000 0.1671 1
O1 0.0869 0.5435 0.3612 1
O2 0.0914 0.5457 0.1060 1
```

Total moment: 1.0 μB per formula unit
E_tot: -466.90 eV for the cell shown



This record from the Alexandria database describes a geometry-optimized UNb2TlO8 structure. The functional is PBE-GGA.

Geometry as CIF:
```
data_UNb2TlO8
_chemical_formula_sum 'U1 Nb2 Tl1 O8'
_cell_length_a 6.1320
_cell_length_b 6.1320
_cell_length_c 7.7054
_cell_angle_alpha 90.00
_cell_angle_beta 90.00
_cell_angle_gamma 120.00
_space_group_name_H-M_alt 'P -3 m 1'
_space_group_IT_number 164
_space_group_name_Hall '-P 3 2"'
loop_
_atom_site_label
_atom_site_fract_x
_atom_site_fract_y
_atom_site_fract_z
_atom_site_occupancy
U1 0.0000 0.0000 0.0000 1
Nb1 0.3333 0.6667 0.7537 1
Tl1 0.0000 0.0000 0.5000 1
O1 0.1624 0.3248 0.8333 1
O2 0.3333 0.6667 0.5230 1
```

Total moment: 1.0 μB per formula unit
E_tot: -103.42 eV for the cell shown



This record from the Alexandria database describes a geometry-optimized UNbTlO6 structure. The functional is PBE-GGA.

Geometry as CIF:
```
data_UNbTlO6
_chemical_formula_sum 'U4 Nb4 Tl4 O24'
_cell_length_a 7.530
_cell_length_b 7.893
_cell_length_c 10.848
_cell_angle_alpha 90.00
_cell_angle_beta 90.00
_cell_angle_gamma 90.00
_space_group_name_H-M_alt 'I m m a'
_space_group_IT_number 74
_space_group_name_Hall '-I 2b 2'
loop_
_atom_site_label
_atom_site_fract_x
_atom_site_fract_y
_atom_site_fract_z
_atom_site_occupancy
U1 0.000 0.000 0.000 1
Nb1 0.250 0.250 0.250 1
Tl1 0.000 0.250 0.626 1
O1 0.000 0.250 0.306 1
O2 0.000 0.250 0.925 1
O3 0.194 0.066 0.126 1
```

Total moment: 0.0 μB per formula unit
E_tot: -303.63 eV for the cell shown